The following is a DFT calculation (GGA-PBE) of a relaxed Ca3Pr4S8 crystal.

## Properties
Energy relative to the elements, uncorrected, eV/atom: -2.05

a = 8.151 Å, b = 8.151 Å, c = 8.147 Å
α = 119.82°, β = 119.82°, γ = 90.10°
Fractional positions:
Ca 0.000 0.000 0.000
Ca 0.000 0.500 0.000
Ca 0.500 0.000 0.000
Pr 0.000 0.000 0.500
Pr 0.000 0.500 0.500
Pr 0.500 0.000 0.500
Pr 0.500 0.500 0.000
S 0.246 0.246 0.992
S 0.247 0.247 0.497
S 0.248 0.752 0.000
S 0.248 0.752 0.500
S 0.752 0.248 0.000
S 0.752 0.248 0.500
S 0.753 0.753 0.503
S 0.754 0.754 0.008